VASP calculation (GGA-PBE) on an optimized crystal structure of AcSm2ThS4.

```
AcSm2ThS4
1.0
4.056 0.000 0.000
0.000 7.133 -0.175
0.000 2.479 6.621
Th S Sm Ac
1 4 2 1
Cartesian
0.000 4.806 3.223
2.028 6.048 1.554
0.000 7.285 4.748
2.028 3.564 4.893
4.056 2.327 1.699
2.028 1.239 3.311
0.000 2.479 6.621
2.028 6.045 6.534
```

Output
SG: P2/m (10)
magnetization: 0.00 μB per cell
total DFT energy (no corrections): -53.05 eV/f.u.
uncorrected formation energy: -1502 kJ/mol of formula units
calculated volume: 24.17 A^3/atom

VASP calculation (GGA-PBE) on an optimized crystal structure of MnGaBRuSe.

```
MnGaBRuSe
1.0
3.252 -0.016 0.008
-1.609 2.841 -0.013
-0.025 -1.860 8.047
Mn Se Ru B Ga
1 1 1 1 1
Cartesian
-0.463 0.203 7.658
1.161 -0.756 6.073
1.176 1.123 1.714
2.800 0.163 0.761
1.160 -0.758 3.527
```

Output
SG: Cm (8)
magnetization: 2.86 μB per cell
total DFT energy (no corrections): -32.65 eV/f.u.
excess energy over the best structure of this formula in the dataset: 0.08 eV/f.u.
uncorrected formation energy: -98 kJ/mol of formula units
calculated volume: 14.82 A^3/atom

VASP calculation (GGA-PBE) on an optimized crystal structure of MnReBr2.

```
MnReBr2
1.0
3.249 -0.003 0.000
-1.808 2.699 0.000
0.000 0.000 9.544
Re Br Mn
1 2 1
Cartesian
0.720 1.348 7.158
0.000 0.000 9.206
0.000 0.000 5.109
0.720 1.348 2.386
```

Output
SG: Cmmm (65)
magnetization: 4.61 μB per cell
total DFT energy (no corrections): -21.12 eV/f.u.
excess energy over the best structure of this formula in the dataset: 3.01 eV/f.u.
uncorrected formation energy: 371 kJ/mol of formula units
calculated volume: 20.91 A^3/atom

VASP calculation (GGA-PBE) on an optimized crystal structure of YSe.

```
YSe
1.0
-1.498 -4.641 4.145
6.221 -1.027 1.099
-0.132 4.286 4.752
Se Y
4 4
Cartesian
1.148 -0.346 2.499
3.509 -3.180 5.121
4.192 1.284 5.424
0.333 -0.523 6.947
2.361 -2.834 2.622
0.000 0.000 0.000
-0.815 -0.178 4.448
3.045 1.629 2.925
```

Output
SG: F-43m (216)
magnetization: 0.00 μB per cell
total DFT energy (no corrections): -12.68 eV/f.u.
uncorrected formation energy: -264 kJ/mol of formula units
calculated volume: 32.77 A^3/atom

VASP calculation (GGA-PBE) on an optimized crystal structure of NbNiP3.

```
NbNiP3
1.0
4.769 0.000 0.000
0.000 4.769 0.000
0.000 0.000 4.769
P Nb Ni
3 1 1
Cartesian
0.000 0.000 2.384
2.384 0.000 0.000
0.000 2.384 0.000
0.000 0.000 0.000
2.384 2.384 2.384
```

Output
SG: Pm-3m (221)
magnetization: 0.19 μB per cell
total DFT energy (no corrections): -27.92 eV/f.u.
excess energy over the best structure of this formula in the dataset: 1.40 eV/f.u.
energy of formation: 0.83 eV per atom
calculated volume: 21.69 A^3/atom

VASP calculation (GGA-PBE) on an optimized crystal structure of InPdBrF2.

```
InPdBrF2
1.0
4.416 0.000 0.000
0.000 5.179 0.000
0.000 0.000 4.416
F Br In Pd
2 1 1 1
Cartesian
0.000 0.000 2.208
2.208 0.000 0.000
0.000 2.589 0.000
2.208 2.589 2.208
0.000 0.000 0.000
```

Output
SG: P4/mmm (123)
magnetization: 0.00 μB per cell
total DFT energy (no corrections): -18.17 eV/f.u.
uncorrected formation energy: -465 kJ/mol of formula units
calculated volume: 20.19 A^3/atom

VASP calculation (GGA-PBE) on an optimized crystal structure of LiIOF2.

```
LiIOF2
1.0
3.646 0.000 0.000
0.000 3.646 0.000
0.000 0.000 4.310
Li F I O
1 2 1 1
Cartesian
0.000 0.000 0.000
1.823 0.000 0.000
0.000 1.823 0.000
1.823 1.823 2.155
0.000 0.000 2.155
```

Output
SG: P4/mmm (123)
magnetization: 0.00 μB per cell
total DFT energy (no corrections): -17.07 eV/f.u.
excess energy over the best structure of this formula in the dataset: 0.00 eV/f.u.
uncorrected formation energy: -474 kJ/mol of formula units
calculated volume: 11.46 A^3/atom

VASP calculation (GGA-PBE) on an optimized crystal structure of KTeW4.

```
KTeW4
1.0
-1.469 0.833 5.290
-1.741 5.010 1.642
-5.338 0.793 1.307
Te K W
1 1 4
Cartesian
0.000 0.000 0.000
-6.411 4.977 6.179
-3.949 2.916 5.691
-4.082 4.949 3.916
-3.234 2.511 3.117
-5.832 2.897 3.753
```

Output
SG: F-43m (216)
magnetization: 0.00 μB per cell
total DFT energy (no corrections): -48.50 eV/f.u.
uncorrected formation energy: 729 kJ/mol of formula units
calculated volume: 20.18 A^3/atom

VASP calculation (GGA-PBE) on an optimized crystal structure of TmPa2Ru.

```
TmPa2Ru
1.0
3.585 0.000 0.000
0.000 3.585 0.000
0.000 0.000 7.488
Pa Tm Ru
2 1 1
Cartesian
0.000 0.000 1.448
0.000 0.000 6.040
1.793 1.793 3.744
1.793 1.793 0.000
```

Output
SG: P4/mmm (123)
magnetization: 0.00 μB per cell
total DFT energy (no corrections): -32.98 eV/f.u.
excess energy over the best structure of this formula in the dataset: 0.00 eV/f.u.
energy of formation: -0.06 eV per atom
calculated volume: 24.06 A^3/atom

VASP calculation (GGA-PBE) on an optimized crystal structure of MnHgPd6.

```
MnHgPd6
1.0
3.976 0.000 0.000
0.000 3.976 0.000
0.000 0.000 8.021
Pd Mn Hg
6 1 1
Cartesian
1.988 0.000 5.917
1.988 1.988 0.000
0.000 1.988 5.917
1.988 0.000 2.104
0.000 1.988 2.104
1.988 1.988 4.011
0.000 0.000 4.011
0.000 0.000 0.000
```

Output
SG: P4/mmm (123)
magnetization: 4.02 μB per cell
total DFT energy (no corrections): -41.94 eV/f.u.
energy of formation: -0.16 eV per atom
calculated volume: 15.85 A^3/atom

VASP calculation (GGA-PBE) on an optimized crystal structure of KNa2MgSn.

```
KNa2MgSn
1.0
6.053 0.000 0.000
0.000 6.053 0.000
0.000 0.000 5.587
Mg Na Sn K
1 2 1 1
Cartesian
0.000 0.000 2.793
0.000 3.027 0.000
3.027 0.000 0.000
0.000 0.000 0.000
3.027 3.027 2.793
```

Output
SG: P4/mmm (123)
magnetization: 0.00 μB per cell
total DFT energy (no corrections): -9.39 eV/f.u.
energy of formation: -0.01 eV per atom
calculated volume: 40.94 A^3/atom

VASP calculation (GGA-PBE) on an optimized crystal structure of BaNa2CuP2.

```
BaNa2CuP2
1.0
-2.059 2.922 2.960
-4.105 -0.898 -1.970
1.977 -6.796 4.445
Na Ba P Cu
2 1 2 1
Cartesian
-1.582 -1.431 3.950
-2.605 -3.341 1.485
-3.082 1.012 0.495
-0.304 -1.591 1.359
-3.883 -3.181 4.076
0.000 0.000 0.000
```

Output
SG: I4/mmm (139)
magnetization: 0.00 μB per cell
total DFT energy (no corrections): -21.77 eV/f.u.
energy of formation: -0.38 eV per atom
calculated volume: 27.59 A^3/atom

VASP calculation (GGA-PBE) on an optimized crystal structure of Pa2Ga5Pd.

```
Pa2Ga5Pd
1.0
6.059 -0.038 -0.054
-3.016 5.264 0.048
-3.016 -1.746 4.966
Ga Pa Pd
5 2 1
Cartesian
-1.661 2.717 3.872
-3.183 3.609 1.416
-3.183 0.104 3.876
-1.676 0.977 1.393
1.354 0.958 1.365
-0.153 0.085 3.848
-0.153 3.590 1.389
-4.694 2.738 3.902
```

Output
SG: Fmmm (69)
magnetization: 0.00 μB per cell
total DFT energy (no corrections): -42.27 eV/f.u.
energy of formation: -0.37 eV per atom
calculated volume: 19.65 A^3/atom

VASP calculation (GGA-PBE) on an optimized crystal structure of YNiSbTe2.

```
YNiSbTe2
1.0
5.247 0.000 0.000
0.000 5.247 0.000
0.000 0.000 4.812
Sb Y Ni Te
1 1 1 2
Cartesian
0.000 0.000 2.406
2.623 2.623 2.406
0.000 0.000 0.000
0.000 2.623 0.000
2.623 0.000 0.000
```

Output
SG: P4/mmm (123)
magnetization: 0.00 μB per cell
total DFT energy (no corrections): -23.84 eV/f.u.
excess energy over the best structure of this formula in the dataset: 0.00 eV/f.u.
uncorrected formation energy: -114 kJ/mol of formula units
calculated volume: 26.50 A^3/atom

VASP calculation (GGA-PBE) on an optimized crystal structure of Ac2NpGe.

```
Ac2NpGe
1.0
3.747 0.000 0.000
1.874 3.245 0.000
1.874 1.082 11.678
Np Ge Ac
1 1 2
Cartesian
0.000 0.000 0.000
3.747 2.164 5.839
1.874 1.082 8.157
5.621 3.245 3.520
```

Output
SG: R-3m (166)
magnetization: 5.26 μB per cell
total DFT energy (no corrections): -23.85 eV/f.u.
energy of formation: 0.48 eV per atom
calculated volume: 35.51 A^3/atom

VASP calculation (GGA-PBE) on an optimized crystal structure of Tm2TiS.

```
Tm2TiS
1.0
3.474 0.000 0.000
1.737 3.008 0.000
1.737 1.003 9.304
Tm Ti S
2 1 1
Cartesian
1.737 1.003 6.368
5.211 3.008 2.936
0.000 0.000 0.000
3.474 2.006 4.652
```

Output
SG: R-3m (166)
magnetization: 1.71 μB per cell
total DFT energy (no corrections): -22.70 eV/f.u.
uncorrected formation energy: -168 kJ/mol of formula units
calculated volume: 24.31 A^3/atom

VASP calculation (GGA-PBE) on an optimized crystal structure of Fe4NiP.

```
Fe4NiP
1.0
0.000 3.300 3.300
3.300 0.000 3.300
3.300 3.300 0.000
Ni Fe P
1 4 1
Cartesian
4.951 4.951 4.951
2.474 2.474 2.474
4.127 4.127 2.474
2.474 4.127 4.127
4.127 2.474 4.127
0.000 0.000 0.000
```

Output
SG: F-43m (216)
magnetization: 9.00 μB per cell
total DFT energy (no corrections): -43.19 eV/f.u.
energy of formation: 0.31 eV per atom
calculated volume: 11.98 A^3/atom

VASP calculation (GGA-PBE) on an optimized crystal structure of Ce2Pm3HoP6.

```
Ce2Pm3HoP6
1.0
7.079 -0.001 0.001
-3.539 6.131 0.001
-1.181 -2.044 6.683
P Ho Pm Ce
6 1 3 2
Cartesian
2.363 4.092 1.628
2.354 -0.001 1.619
0.006 4.087 5.065
3.537 2.047 5.065
-1.177 2.038 1.619
-0.004 -0.006 5.056
0.000 0.000 0.000
4.717 0.000 3.342
1.180 2.043 3.342
-2.358 4.086 3.342
0.002 4.086 0.001
3.539 2.044 0.001
```

Output
SG: C2/m (12)
magnetization: 0.76 μB per cell
total DFT energy (no corrections): -81.84 eV/f.u.
energy of formation: -1.56 eV per atom
calculated volume: 24.17 A^3/atom

VASP calculation (GGA-PBE) on an optimized crystal structure of LiTbCeGa.

```
LiTbCeGa
1.0
5.139 0.000 0.000
2.569 4.450 0.000
2.569 1.483 4.196
Ce Ga Tb Li
1 1 1 1
Cartesian
0.000 0.000 0.000
7.708 4.450 3.147
5.139 2.967 2.098
2.569 1.483 1.049
```

Output
SG: F-43m (216)
magnetization: 0.75 μB per cell
total DFT energy (no corrections): -16.36 eV/f.u.
energy of formation: -0.21 eV per atom
calculated volume: 23.99 A^3/atom

VASP calculation (GGA-PBE) on an optimized crystal structure of GaFeNi.

```
GaFeNi
1.0
-0.657 1.595 1.937
-3.813 -1.435 -0.112
2.775 -1.774 2.401
Ni Fe Ga
1 1 1
Cartesian
-0.070 0.169 0.205
0.138 -0.591 2.863
-1.764 -1.191 1.159
```

Output
SG: P3m1 (156)
magnetization: 2.96 μB per cell
total DFT energy (no corrections): -17.64 eV/f.u.
energy of formation: -0.12 eV per atom
calculated volume: 12.44 A^3/atom

VASP calculation (GGA-PBE) on an optimized crystal structure of LaSi3Ru.

```
LaSi3Ru
1.0
5.891 0.000 0.000
0.000 5.623 -0.001
0.000 0.001 6.022
Si La Ru
6 2 2
Cartesian
5.433 2.924 5.490
2.488 4.683 5.961
5.433 2.924 2.950
2.488 4.683 2.478
5.566 0.853 4.220
2.620 1.131 1.209
2.592 1.876 4.220
5.537 0.108 1.209
3.822 3.103 1.209
0.877 4.504 4.220
```

Output
SG: Pmn2_1 (31)
magnetization: 0.00 μB per cell
total DFT energy (no corrections): -33.20 eV/f.u.
uncorrected formation energy: -264 kJ/mol of formula units
calculated volume: 19.95 A^3/atom

VASP calculation (GGA-PBE) on an optimized crystal structure of HfCrAgS4.

```
HfCrAgS4
1.0
-5.997 -1.272 4.132
-1.399 -6.014 -4.065
6.571 0.757 3.302
Ag S Hf Cr
2 8 2 2
Cartesian
-0.412 -1.216 5.583
-2.712 -2.942 1.884
-0.720 -3.188 -2.047
2.563 -2.689 -0.108
-0.231 -3.248 1.675
1.706 -5.653 -2.398
2.810 -2.910 3.063
2.193 -5.711 1.310
-1.091 -6.209 -0.621
-1.334 -5.992 -3.793
-5.543 -5.469 0.049
0.732 -4.445 -0.364
1.436 -1.443 1.669
4.022 -4.071 1.285
```

Output
SG: I2_12_12_1 (24)
magnetization: 5.99 μB per cell
total DFT energy (no corrections): -45.55 eV/f.u.
excess energy over the best structure of this formula in the dataset: 0.00 eV/f.u.
uncorrected formation energy: -637 kJ/mol of formula units
calculated volume: 20.54 A^3/atom

VASP calculation (GGA-PBE) on an optimized crystal structure of MnReH2.

```
MnReH2
1.0
0.000 2.570 2.570
2.570 0.000 2.570
2.570 2.570 0.000
H Mn Re
2 1 1
Cartesian
3.856 3.856 3.856
1.285 1.285 1.285
0.000 0.000 0.000
2.570 2.570 2.570
```

Output
SG: Fm-3m (225)
magnetization: 1.83 μB per cell
total DFT energy (no corrections): -25.23 eV/f.u.
excess energy over the best structure of this formula in the dataset: 2.11 eV/f.u.
calculated volume: 8.49 A^3/atom

VASP calculation (GGA-PBE) on an optimized crystal structure of LiMo2Cl.

```
LiMo2Cl
1.0
-1.170 -3.480 -7.037
7.843 -0.838 -0.889
3.241 -4.068 -3.003
Mo Li Cl
4 2 2
Cartesian
8.928 -6.900 -9.262
0.961 -3.589 -5.851
5.664 -1.684 -1.596
4.275 -4.600 -5.150
3.336 -2.159 -3.963
7.210 -3.533 -3.928
0.000 0.000 0.000
2.704 -4.854 -7.002
```

Output
SG: I-42d (122)
magnetization: 0.00 μB per cell
total DFT energy (no corrections): -22.78 eV/f.u.
excess energy over the best structure of this formula in the dataset: 3.05 eV/f.u.
uncorrected formation energy: 255 kJ/mol of formula units
calculated volume: 16.84 A^3/atom

VASP calculation (GGA-PBE) on an optimized crystal structure of KSrIn2.

```
KSrIn2
1.0
-0.227 3.396 2.070
-2.799 -1.611 2.332
7.016 -3.282 6.152
In Sr K
2 1 1
Cartesian
-0.126 0.244 3.417
0.245 -0.115 0.215
4.275 -1.815 7.277
3.104 -1.452 2.722
```

Output
SG: P4mm (99)
magnetization: 0.00 μB per cell
total DFT energy (no corrections): -8.73 eV/f.u.
excess energy over the best structure of this formula in the dataset: 0.31 eV/f.u.
energy of formation: -0.12 eV per atom
calculated volume: 39.24 A^3/atom

VASP calculation (GGA-PBE) on an optimized crystal structure of ZrCr4Br.

```
ZrCr4Br
1.0
3.932 0.137 3.095
-0.214 2.716 4.200
-0.235 -2.284 4.449
Cr Zr Br
4 1 1
Cartesian
1.198 1.573 6.505
1.305 0.213 4.402
1.188 -0.930 6.629
3.274 0.282 5.952
2.612 0.427 8.808
0.000 0.000 0.000
```

Output
SG: F-43m (216)
magnetization: 0.00 μB per cell
total DFT energy (no corrections): -45.23 eV/f.u.
uncorrected formation energy: 336 kJ/mol of formula units
calculated volume: 14.79 A^3/atom

VASP calculation (GGA-PBE) on an optimized crystal structure of K2CaW.

```
K2CaW
1.0
3.082 0.000 0.000
0.000 3.082 0.000
0.000 0.000 13.322
Ca K W
1 2 1
Cartesian
1.541 1.541 9.991
0.000 0.000 0.516
0.000 0.000 6.145
1.541 1.541 3.330
```

Output
SG: P4/mmm (123)
magnetization: 0.10 μB per cell
total DFT energy (no corrections): -11.68 eV/f.u.
excess energy over the best structure of this formula in the dataset: 1.13 eV/f.u.
energy of formation: 1.37 eV per atom
calculated volume: 31.63 A^3/atom